First-principles (PBE with a Hubbard U) data for a geometry-optimized VTeN2O structure, as listed in the Alexandria database.

* density: 6.27 g/cm³
* raw total energy: -6.093 eV per atom

Lattice parameters (Å, degrees): 4.019 4.019 3.649 90.00 90.00 90.00
Space group P4/mmm (No. 123)
Inequivalent atoms, fractional coordinates:
V (0.000, 0.000, 0.000) (multiplicity 1)
Te (0.500, 0.500, 0.500) (multiplicity 1)
N (0.000, 0.500, 0.000) (multiplicity 2)
O (0.000, 0.000, 0.500) (multiplicity 1)